[1]
# LaNd2PuSb4

A geometry-optimized LaNd2PuSb4 structure (PBE-GGA, Alexandria via LeMat-Bulk).

Calculated values
- Magnetic moment: 0.6263 μB/atom
- Uncorrected energy: -6.71 eV per atom
- Crystal system: monoclinic

a = 7.837 Å, b = 4.533 Å, c = 7.843 Å
α = 90.00°, β = 109.46°, γ = 90.00°
Space group P2/m (No. 10)
Asymmetric unit:
1 La 0.000 0.000 0.000 x1
2 Nd 0.000 0.500 0.500 x1
3 Nd 0.500 0.000 0.500 x1
4 Pu 0.500 0.500 0.000 x1
5 Sb 0.256 0.500 0.250 x2
6 Sb 0.257 0.000 0.754 x2

[2]
# CoAgB2

A geometry-optimized CoAgB2 structure (PBE-GGA, Alexandria via LeMat-Bulk).

Calculated values
- E above lowest polymorph: 0.000 eV per atom
- Magnetic moment: 0.0000 μB/atom
- Uncorrected energy: -5.38 eV per atom
- Crystal system: tetragonal
- Formation enthalpy at 0 K: 0.443 eV per atom

a = 3.659 Å, b = 3.659 Å, c = 13.669 Å
α = 90.00°, β = 90.00°, γ = 90.00°
Space group I4_1/amd (No. 141, origin choice 2)
Asymmetric unit:
1 Co 0.000 0.250 0.375 x4
2 Ag 0.000 0.250 0.875 x4
3 B 0.000 0.000 0.500 x8

[3]
# DyAu3

A geometry-optimized DyAu3 structure (PBE-GGA, Alexandria via LeMat-Bulk).

Calculated values
- Magnetic moment: 0.0000 μB/atom
- Uncorrected energy: -4.33 eV per atom
- Crystal system: orthorhombic
- Formation enthalpy at 0 K: -0.721 eV per atom

a = 5.014 Å, b = 6.285 Å, c = 5.142 Å
α = 90.00°, β = 90.00°, γ = 90.00°
Space group Pmmn (No. 59, origin choice 2)
Asymmetric unit:
1 Dy 0.250 0.250 0.159 x2
2 Au 0.250 0.505 0.666 x4
3 Au 0.250 0.750 0.172 x2

[4]
# InGaCl

A geometry-optimized InGaCl structure (PBE-GGA, Alexandria via LeMat-Bulk).

Calculated values
- E above lowest polymorph: 0.004 eV per atom
- Magnetic moment: 0.0000 μB/atom
- Uncorrected energy: -2.95 eV per atom
- Crystal system: triclinic

a = 4.712 Å, b = 5.947 Å, c = 6.937 Å
α = 73.47°, β = 89.80°, γ = 72.13°
Space group P-1 (No. 2)
Asymmetric unit:
1 In 0.227 0.048 0.345 x2
2 Ga 0.242 0.031 0.889 x2
3 Cl 0.155 0.474 0.754 x2

[5]
# K2Sb3Au5

A geometry-optimized K2Sb3Au5 structure (PBE-GGA, Alexandria via LeMat-Bulk).

Calculated values
- Magnetic moment: 0.0000 μB/atom
- Uncorrected energy: -3.36 eV per atom
- Crystal system: orthorhombic

a = 11.447 Å, b = 13.037 Å, c = 7.016 Å
α = 90.00°, β = 90.00°, γ = 90.00°
Space group Ibam (No. 72)
Asymmetric unit:
1 K 0.233 0.129 0.000 x8
2 Sb 0.000 0.500 0.250 x4
3 Sb 0.117 0.133 0.500 x8
4 Au 0.000 0.000 0.250 x4
5 Au 0.000 0.266 0.250 x8
6 Au 0.149 0.390 0.000 x8

[6]
# CdCuBr2

A geometry-optimized CdCuBr2 structure (PBE-GGA, Alexandria via LeMat-Bulk).

Calculated values
- E above lowest polymorph: 0.612 eV per atom
- Magnetic moment: 0.0000 μB/atom
- Uncorrected energy: -1.77 eV per atom
- Crystal system: cubic

a = 7.229 Å, b = 7.229 Å, c = 7.229 Å
α = 90.00°, β = 90.00°, γ = 90.00°
Space group F-43m (No. 216)
Asymmetric unit:
1 Cd 0.000 0.000 0.000 x4
2 Cu 0.250 0.250 0.750 x4
3 Br 0.000 0.000 0.500 x4
4 Br 0.250 0.250 0.250 x4

[7]
# In2CuPd5

A geometry-optimized In2CuPd5 structure (PBE-GGA, Alexandria via LeMat-Bulk).

Calculated values
- Magnetic moment: 0.0000 μB/atom
- Uncorrected energy: -4.87 eV per atom
- Crystal system: orthorhombic
- Formation enthalpy at 0 K: -0.429 eV per atom

a = 5.622 Å, b = 11.125 Å, c = 4.144 Å
α = 90.00°, β = 90.00°, γ = 90.00°
Space group Pbam (No. 55)
Asymmetric unit:
1 In 0.206 0.134 0.000 x4
2 Cu 0.000 0.500 0.500 x2
3 Pd 0.000 0.000 0.500 x2
4 Pd 0.047 0.743 0.500 x4
5 Pd 0.207 0.388 0.000 x4

[8]
# AcTl3O6

A geometry-optimized AcTl3O6 structure (PBE-GGA, Alexandria via LeMat-Bulk).

Calculated values
- Magnetic moment: 0.0000 μB/atom
- Uncorrected energy: -5.40 eV per atom
- Crystal system: monoclinic

a = 9.526 Å, b = 3.575 Å, c = 9.560 Å
α = 90.00°, β = 109.25°, γ = 90.00°
Space group P2_1/m (No. 11)
Asymmetric unit:
1 Ac 0.065 0.250 0.200 x2
2 Tl 0.168 0.250 0.595 x2
3 Tl 0.322 0.750 0.992 x2
4 Tl 0.457 0.250 0.331 x2
5 O 0.079 0.750 0.414 x2
6 O 0.103 0.250 0.950 x2
7 O 0.199 0.750 0.749 x2
8 O 0.283 0.750 0.228 x2
9 O 0.394 0.250 0.554 x2
10 O 0.463 0.250 0.099 x2

[9]
# MgSc3Mo

A geometry-optimized MgSc3Mo structure (PBE-GGA, Alexandria via LeMat-Bulk).

Calculated values
- E above lowest polymorph: 0.969 eV per atom
- Magnetic moment: 0.0006 μB/atom
- Uncorrected energy: -4.89 eV per atom
- Crystal system: cubic
- Formation enthalpy at 0 K: 1.395 eV per atom

a = 5.000 Å, b = 5.000 Å, c = 5.000 Å
α = 90.00°, β = 90.00°, γ = 90.00°
Space group Pm-3m (No. 221)
Asymmetric unit:
1 Mg 0.000 0.000 0.000 x1
2 Sc 0.000 0.000 0.500 x3
3 Mo 0.500 0.500 0.500 x1

[10]
# Cs2AsI6Br

A geometry-optimized Cs2AsI6Br structure (PBE-GGA, Alexandria via LeMat-Bulk).

Calculated values
- Magnetic moment: 0.0000 μB/atom
- Uncorrected energy: -2.39 eV per atom
- Crystal system: tetragonal

a = 8.930 Å, b = 8.930 Å, c = 11.475 Å
α = 90.00°, β = 90.00°, γ = 90.00°
Space group I4/mmm (No. 139)
Asymmetric unit:
1 Cs 0.000 0.500 0.250 x4
2 As 0.000 0.000 0.000 x2
3 I 0.000 0.000 0.247 x4
4 I 0.226 0.226 0.000 x8
5 Br 0.000 0.000 0.500 x2